[1]
Below is crystalline NiHg2Au at its relaxed geometry, with properties calculated at the PBE level.

Calculated values
**Energy of formation**: 0.163 eV/atom
**Energy above the most stable polymorph in this dataset**: 0.0530 eV per atom

```
data_NiHg2Au
_chemical_formula_sum 'Ni1 Hg2 Au1'
_space_group_name_H-M_alt 'P 1'
_space_group_IT_number 1
_space_group_name_Hall 'P 1'
_cell_length_a 3.076
_cell_length_b 3.071
_cell_length_c 7.933
_cell_angle_alpha 90.00
_cell_angle_beta 90.00
_cell_angle_gamma 90.00
loop_
_atom_site_label
_atom_site_fract_x
_atom_site_fract_y
_atom_site_fract_z
Au1 0.500 0.500 0.708
Hg1 0.000 0.000 0.981
Hg2 0.500 0.500 0.300
Ni1 0.000 0.000 0.510
```

***

[2]
Below is crystalline NiHgAu2 at its relaxed geometry, with properties calculated at the PBE level.

Calculated values
**Energy of formation**: 0.168 eV/atom

```
data_NiHgAu2
_chemical_formula_sum 'Ni1 Hg1 Au2'
_space_group_name_H-M_alt 'P 1'
_space_group_IT_number 1
_space_group_name_Hall 'P 1'
_cell_length_a 4.404
_cell_length_b 4.404
_cell_length_c 5.162
_cell_angle_alpha 64.75
_cell_angle_beta 64.75
_cell_angle_gamma 60.00
loop_
_atom_site_label
_atom_site_fract_x
_atom_site_fract_y
_atom_site_fract_z
Ni1 0.685 0.685 0.944
Hg1 0.492 0.492 0.524
Au1 0.049 0.049 0.854
Au2 0.274 0.274 0.178
```

***

[3]
Below is crystalline NiHg2Au at its relaxed geometry, with properties calculated at the PBE level.

Calculated values
**Energy of formation**: 0.153 eV/atom
**Energy above the most stable polymorph in this dataset**: 0.0423 eV per atom

```
data_NiHg2Au
_chemical_formula_sum 'Ni1 Hg2 Au1'
_space_group_name_H-M_alt 'P 1'
_space_group_IT_number 1
_space_group_name_Hall 'P 1'
_cell_length_a 2.938
_cell_length_b 4.403
_cell_length_c 6.707
_cell_angle_alpha 70.53
_cell_angle_beta 90.00
_cell_angle_gamma 90.00
loop_
_atom_site_label
_atom_site_fract_x
_atom_site_fract_y
_atom_site_fract_z
Au1 0.500 0.566 0.746
Hg1 0.000 0.948 0.977
Hg2 0.500 0.247 0.380
Ni1 0.000 0.739 0.396
```

***

Q: Which formula does entry 3 have?
A: NiHg2Au